1.
Density functional theory data (PBE) for Dy4Er5Tl after structural relaxation.

Cell: 5.751 7.998 7.998 Å, 82.57 68.93 68.93°
Positions (direct):
1 Dy 0.461 0.683 0.317
2 Dy 0.144 0.317 0.317
3 Dy 0.461 0.317 0.683
4 Dy 0.778 0.683 0.683
5 Er 0.770 0.000 0.371
6 Er 0.140 0.629 0.000
7 Er 0.770 0.371 0.000
8 Er 0.140 0.000 0.629
9 Er 0.664 0.000 0.000
10 Tl 0.182 0.000 0.000

## Properties
Theoretical density in g cm⁻³: 8.76
Magnetization in μB per formula unit: 0.0
Distance to the lowest polymorph of the same formula in meV/atom: 194
Energy relative to the elements in eV/atom: 0.14

---

2.
Density functional theory data (PBE) for SnS2I after structural relaxation.

Cell: 5.076 5.076 5.076 Å, 60.00 60.00 60.00°
Positions (direct):
1 S 0.250 0.250 0.250
2 S 0.750 0.750 0.750
3 I 0.500 0.500 0.500
4 Sn 0.000 0.000 0.000

## Properties
Theoretical density in g cm⁻³: 5.56
Magnetization in μB per formula unit: 0.0
Distance to the lowest polymorph of the same formula in meV/atom: 571
Formation energy without anion corrections in meV/atom: 471

---

3.
Density functional theory data (PBE) for Mn2TlSiH after structural relaxation.

Cell: 4.719 5.611 4.719 Å, 90.00 90.00 90.00°
Positions (direct):
1 H 0.500 0.500 0.500
2 Si 0.000 0.000 0.000
3 Mn 0.000 0.000 0.500
4 Mn 0.500 0.000 0.000
5 Tl 0.000 0.500 0.000

## Properties
Theoretical density in g cm⁻³: 4.56
Magnetization in μB per formula unit: 8.9
Raw total energy in Ry/atom: -0.35749

---

4.
Density functional theory data (PBE) for SmHgSb after structural relaxation.

Cell: 4.238 4.238 5.582 Å, 112.31 112.31 90.00°
Positions (direct):
1 Hg 0.617 0.617 0.233
2 Sb 0.941 0.941 0.882
3 Sm 0.293 0.293 0.585

## Properties
Theoretical density in g cm⁻³: 9.28
Magnetization in μB per formula unit: 0.0
Distance to the lowest polymorph of the same formula in meV/atom: 74
Formation energy without anion corrections in meV/atom: -536